{
  "formula": "Li3CdIn6",
  "functional": "GGA-PBE",
  "state": "optimized geometry",
  "cell": [[-0.0791, 2.6501, -1.7536], [9.5360, -3.2728, -3.4556], [-8.7870, -4.3190, -4.2098]],
  "species": ["Li", "Li", "Li", "Cd", "In", "In", "In", "In", "In", "In"],
  "frac_coords": [[0.0353, 0.4899, 0.0000], [0.0353, 0.0000, 0.4899], [0.5454, 0.5101, 0.5101], [0.8257, 0.0000, 0.0000], [0.6468, 0.0000, 0.7161], [0.6468, 0.7161, 0.0000], [0.4195, 0.0000, 0.2634], [0.4195, 0.2634, 0.0000], [0.1561, 0.7366, 0.7366], [0.9307, 0.2839, 0.2839]],
  "delta_e_f_kj_per_mol_atoms": 3,
  "dos_ef_per_ev_cell": 2.9,
  "de_polymorph_mev_per_atom": 150,
  "spacegroup": "R3m, No. 160"
}